5
Lattice="4.207 0.000 0.000 0.000 4.207 0.000 0.000 0.000 4.207" Properties=species:S:1:pos:R:3 comment="Ga3CoC (PBE, relaxed)" delta_e_f_ev_per_atom=0.92 vol_a3_per_atom=14.90 space_group="Pm-3m, No. 221" polymorph_energy_mev_per_atom=0 pbc="T T T"
Ga 0.000 0.000 2.104
Ga 0.000 2.104 0.000
Ga 2.104 0.000 0.000
Co 2.104 2.104 2.104
C 0.000 0.000 0.000